Entry from Alexandria: an optimized crystal structure of UPd2Pt2 (PBE).

## Properties
Fermi-level density of states: 14.43 states/eV per cell
ΔE_f: -0.15 eV/atom
relative energy among the computed polymorphs: 0 meV/atom

Lattice parameters (Å, degrees): 4.5889 4.5889 10.5151 90.00 90.00 120.00
Space group P6_3/mmc (No. 194)
Symmetry-distinct sites (fractional):
U: 0.0000 0.0000 0.2500 [2 per cell]
Pd: 0.3333 0.6667 0.1052 [4 per cell]
Pt: 0.0000 0.0000 0.0000 [2 per cell]
Pt: 0.3333 0.6667 0.7500 [2 per cell]